[1]
Below is a relaxed structure of Ho2Th2Sc7, with properties calculated at the PBE-GGA level.

Results
formation energy: 1.79 eV per formula unit
relative energy among the computed polymorphs: 22 meV/atom
size of the total moment: 0.001 μB/cell
volume: 27.57 Å³ per atom

Cell: 5.829 7.538 7.538 Å, 90.93 73.63 73.63°
Atoms (fractional coordinates):
Sc 0.829 0.410 0.932
Sc 0.571 0.756 0.756
Sc 0.000 0.000 0.000
Sc 0.171 0.590 0.068
Sc 0.429 0.244 0.244
Sc 0.171 0.068 0.590
Sc 0.829 0.932 0.410
Th 0.179 0.602 0.602
Th 0.821 0.398 0.398
Ho 0.500 0.795 0.205
Ho 0.500 0.205 0.795


[2]
Below is a relaxed structure of Ho3ThSc, with properties calculated at the PBE-GGA level.

Results
formation energy: 0.24 eV per formula unit
relative energy among the computed polymorphs: 0 meV/atom
size of the total moment: 0.000 μB/cell
volume: 29.98 Å³ per atom

Cell: 5.320 6.861 8.634 Å, 89.57 107.94 90.00°
Atoms (fractional coordinates):
Sc 0.199 0.257 0.399
Sc 0.801 0.743 0.601
Ho 0.998 0.745 0.996
Ho 0.614 0.004 0.228
Ho 0.386 0.996 0.772
Ho 0.798 0.248 0.597
Ho 0.202 0.752 0.403
Ho 0.002 0.255 0.004
Th 0.606 0.503 0.212
Th 0.394 0.497 0.788


[3]
Below is a relaxed structure of Ho8Th3Sc2, with properties calculated at the PBE-GGA level.

Results
formation energy: 3.60 eV per formula unit
relative energy among the computed polymorphs: 54 meV/atom
size of the total moment: 0.000 μB/cell
volume: 32.77 Å³ per atom

Cell: 6.501 9.235 8.552 Å, 122.68 98.17 90.00°
Atoms (fractional coordinates):
Th 0.000 0.832 0.000
Th 0.500 0.000 0.000
Th 0.000 0.168 0.000
Sc 0.700 0.807 0.613
Sc 0.300 0.193 0.387
Ho 0.866 0.581 0.163
Ho 0.439 0.798 0.236
Ho 0.561 0.563 0.764
Ho 0.193 0.787 0.574
Ho 0.134 0.419 0.837
Ho 0.439 0.437 0.236
Ho 0.561 0.202 0.764
Ho 0.807 0.213 0.426


[4]
Below is a relaxed structure of Ho3Th5Sc4, with properties calculated at the PBE-GGA level.

Results
formation energy: 2.06 eV per formula unit
relative energy among the computed polymorphs: 0 meV/atom
size of the total moment: 0.000 μB/cell
volume: 29.93 Å³ per atom

Cell: 6.021 9.085 15.174 Å, 151.58 101.26 90.20°
Atoms (fractional coordinates):
Th 0.531 0.373 0.030
Th 0.376 0.660 0.758
Th 0.624 0.340 0.242
Th 0.469 0.627 0.970
Th 0.500 0.000 0.500
Ho 0.247 0.609 0.491
Ho 0.753 0.391 0.509
Ho 0.000 0.000 0.500
Sc 0.110 0.876 0.231
Sc 0.039 0.240 0.051
Sc 0.961 0.760 0.949
Sc 0.890 0.124 0.769


[5]
Below is a relaxed structure of HoThSc, with properties calculated at the PBE-GGA level.

Results
formation energy: 0.29 eV per formula unit
relative energy among the computed polymorphs: 58 meV/atom
size of the total moment: 0.014 μB/cell
volume: 29.42 Å³ per atom

Cell: 5.520 9.562 6.689 Å, 90.00 90.01 90.00°
Atoms (fractional coordinates):
Th 0.999 0.833 0.000
Th 0.501 0.333 0.000
Th 0.001 0.167 0.000
Th 0.499 0.667 0.000
Sc 0.000 0.500 0.756
Sc 0.500 0.000 0.244
Sc 0.500 0.000 0.756
Sc 0.000 0.500 0.244
Ho 0.493 0.333 0.500
Ho 0.507 0.667 0.500
Ho 0.007 0.833 0.500
Ho 0.993 0.167 0.500


[6]
Below is a relaxed structure of HoThSc5, with properties calculated at the PBE-GGA level.

Results
formation energy: 0.67 eV per formula unit
size of the total moment: 0.000 μB/cell
volume: 26.83 Å³ per atom

Cell: 6.140 6.140 11.005 Å, 105.98 105.98 96.32°
Atoms (fractional coordinates):
Sc 0.768 0.462 0.036
Sc 0.035 0.386 0.338
Sc 0.462 0.768 0.536
Sc 0.538 0.232 0.464
Sc 0.386 0.035 0.838
Sc 0.838 0.162 0.750
Sc 0.162 0.838 0.250
Sc 0.232 0.538 0.964
Sc 0.614 0.965 0.162
Sc 0.965 0.614 0.662
Ho 0.000 0.000 0.000
Ho 0.000 0.000 0.500
Th 0.509 0.491 0.250
Th 0.491 0.509 0.750


What is the formation energy in the fifth record? 0.29 eV per formula unit